Entry 1:
DFT (PBE) results for an optimized crystal structure of CrGeN2.

Computed properties:
**Total DFT energy (no corrections)**: -7.259 eV per atom
**Space-group type**: R-3m, No. 166
**ΔE_f (raw)**: 0.464 eV per atom

Unit cell a=6.0921 b=6.0921 c=6.0921 alpha=27.99 beta=27.99 gamma=27.99
Closest atoms and distances in Å follow each position.
Fractional positions:
Cr1 0.0000 0.0000 0.0000  2 N 1.84
Ge1 0.5000 0.5000 0.5000  6 N 2.02
N1 0.8952 0.8952 0.8952  1 Cr 1.84, 3 Ge 2.02
N2 0.1048 0.1048 0.1048  1 Cr 1.84, 3 Ge 2.02

***

Entry 2:
DFT (PBE) results for an optimized crystal structure of Sm2Al3Zn.

Computed properties:
**Total DFT energy (no corrections)**: -4.126 eV per atom
**Space-group type**: Fmmm, No. 69
**Formation energy**: -0.470 eV/atom

Unit cell a=5.8722 b=5.8722 c=8.6866 alpha=105.64 beta=105.64 gamma=101.69
Closest atoms and distances in Å follow each position.
Fractional positions:
Sm1 0.2500 0.7500 0.5000  8 Al 3.20-3.21, 4 Zn 3.21
Sm2 0.7482 0.7482 0.0000  2 Zn 3.20, 10 Al 3.20-3.23
Sm3 0.7500 0.2500 0.5000  8 Al 3.20-3.21, 4 Zn 3.21
Sm4 0.2518 0.2518 0.0000  2 Zn 3.20, 10 Al 3.20-3.23
Al1 0.3351 0.8329 0.1681  1 Zn 2.61, 2 Al 2.64
Al2 0.1671 0.6649 0.8319  1 Zn 2.61, 2 Al 2.64
Al3 0.6649 0.1671 0.8319  1 Zn 2.61, 2 Al 2.64
Al4 0.8329 0.3351 0.1681  1 Zn 2.61, 2 Al 2.64
Al5 0.1678 0.1678 0.3356  1 Zn 2.60, 2 Al 2.64
Al6 0.8322 0.8322 0.6644  1 Zn 2.60, 2 Al 2.64
Zn1 0.6669 0.6669 0.3338  3 Al 2.60-2.61
Zn2 0.3331 0.3331 0.6662  3 Al 2.60-2.61

***

Entry 3:
DFT (PBE) results for an optimized crystal structure of GdScIrRu.

Computed properties:
**Total DFT energy (no corrections)**: -10.265 eV per atom
**Space-group type**: F-43m, No. 216
**Formation energy**: -0.628 eV/atom

Unit cell a=4.7135 b=4.7135 c=4.7135 alpha=60.00 beta=60.00 gamma=60.00
Closest atoms and distances in Å follow each position.
Fractional positions:
Gd1 0.5000 0.5000 0.5000  4 Ru 2.89, 4 Ir 2.89
Ru1 0.2500 0.2500 0.2500  4 Gd 2.89, 4 Sc 2.89
Ir1 0.7500 0.7500 0.7500  4 Gd 2.89, 4 Sc 2.89
Sc1 0.0000 0.0000 0.0000  4 Ru 2.89, 4 Ir 2.89

***

Entry 4:
DFT (PBE) results for an optimized crystal structure of Ac2Tb12Dy5.

Computed properties:
**Total DFT energy (no corrections)**: -4.477 eV per atom
**Space-group type**: P-1, No. 2
**Formation energy**: 0.090 eV/atom

Unit cell a=6.7616 b=11.9503 c=13.2324 alpha=139.33 beta=92.80 gamma=103.38
Closest atoms and distances in Å follow each position.
Fractional positions:
Ac1 0.6818 0.1005 0.9647  6 Tb 3.46-3.78, 1 Ac 3.69
Ac2 0.3182 0.8995 0.0353  6 Tb 3.46-3.78, 1 Ac 3.69
Tb1 0.9295 0.6592 0.0399  6 Tb 3.26-3.60, 1 Ac 3.46, 2 Dy 3.53-3.65
Tb2 0.3778 0.5060 0.8826  6 Tb 3.26-3.56, 2 Dy 3.43-3.44, 1 Ac 3.59
Tb3 0.7400 0.7041 0.8230  6 Tb 3.32-3.71, 2 Dy 3.45, 2 Ac 3.66-3.68
Tb4 0.0816 0.6403 0.3744  6 Tb 3.39-3.66, 4 Dy 3.45-3.75
Tb5 0.6263 0.7625 0.5052  5 Dy 3.38-3.76, 5 Tb 3.41-3.66
Tb6 0.0981 0.9272 0.7666  5 Tb 3.32-3.71, 2 Dy 3.52-3.66, 1 Ac 3.70
Tb7 0.9019 0.0728 0.2334  5 Tb 3.32-3.71, 2 Dy 3.52-3.66, 1 Ac 3.70
Tb8 0.9184 0.3597 0.6256  6 Tb 3.39-3.66, 4 Dy 3.45-3.75
Tb9 0.3737 0.2375 0.4948  5 Dy 3.38-3.76, 5 Tb 3.41-3.66
Tb10 0.6222 0.4940 0.1174  6 Tb 3.26-3.56, 2 Dy 3.43-3.44, 1 Ac 3.59
Tb11 0.2600 0.2959 0.1770  6 Tb 3.32-3.71, 2 Dy 3.45, 2 Ac 3.66-3.68
Tb12 0.0705 0.3408 0.9601  6 Tb 3.26-3.60, 1 Ac 3.46, 2 Dy 3.53-3.65
Dy1 0.2789 0.5707 0.5727  8 Tb 3.45-3.66, 2 Dy 3.49-3.67
Dy2 0.4426 0.8381 0.2945  2 Dy 3.38-3.60, 7 Tb 3.43-3.76
Dy3 0.0000 0.0000 0.5000  6 Tb 3.38-3.72, 2 Dy 3.60
Dy4 0.5574 0.1619 0.7055  2 Dy 3.38-3.60, 7 Tb 3.43-3.76
Dy5 0.7211 0.4293 0.4273  8 Tb 3.45-3.66, 2 Dy 3.49-3.67

***

Entry 5:
DFT (PBE) results for an optimized crystal structure of BaGaAs3.

Computed properties:
**Total DFT energy (no corrections)**: -4.213 eV per atom
**Space-group type**: P1, No. 1
**Energy above the lowest structure with this stoichiometry**: 0.000 eV per atom
**Formation energy**: -0.433 eV/atom

Unit cell a=7.0132 b=6.3117 c=7.1244 alpha=101.90 beta=119.54 gamma=90.01
Closest atoms and distances in Å follow each position.
Fractional positions:
Ba1 0.3105 0.9331 0.3775  12 As 3.46-3.78, 1 Ga 3.64
Ba2 0.6764 0.4149 0.1093  10 As 3.35-3.67
Ga1 0.9899 0.0676 0.7379  4 As 2.51-2.77
Ga2 0.0358 0.5668 0.8269  3 As 2.44-2.61
As1 0.1772 0.3569 0.1105  2 Ga 2.44-2.58
As2 0.7819 0.9551 0.3207  1 Ga 2.51
As3 0.3636 0.8532 0.8787  2 As 2.49-2.77, 2 Ga 2.75-2.77
As4 0.7591 0.8519 0.8790  2 As 2.49-2.77, 2 Ga 2.75-2.77
As5 0.2272 0.5047 0.5894  2 As 2.49-2.65, 1 Ga 2.60
As6 0.6059 0.5035 0.5899  2 As 2.49-2.65, 1 Ga 2.61

***

Entry 6:
DFT (PBE) results for an optimized crystal structure of TlGa2Si.

Computed properties:
**Total DFT energy (no corrections)**: -3.310 eV per atom
**Space-group type**: R-3m, No. 166
**Energy above the lowest structure with this stoichiometry**: 0.000 eV per atom
**ΔE_f (raw)**: 0.151 eV per atom

Unit cell a=3.9634 b=3.9634 c=7.0907 alpha=73.77 beta=73.77 gamma=60.00
Closest atoms and distances in Å follow each position.
Fractional positions:
Tl1 0.5000 0.5000 0.5000  6 Ga 3.16
Si1 0.0000 0.0000 0.0000  6 Ga 2.57
Ga1 0.2749 0.2749 0.1754  3 Si 2.57
Ga2 0.7251 0.7251 0.8246  3 Si 2.57

***

Entry 7:
DFT (PBE) results for an optimized crystal structure of Cs2CeSeO6.

Computed properties:
**Total DFT energy (no corrections)**: -5.809 eV per atom
**Space-group type**: I4mm, No. 107
**ΔE_f (raw)**: -1.721 eV per atom

Unit cell a=5.6654 b=5.6654 c=7.2053 alpha=66.85 beta=66.85 gamma=90.00
Closest atoms and distances in Å follow each position.
Fractional positions:
Cs1 0.7857 0.2857 0.4284  8 O 3.04-3.24
Cs2 0.2857 0.7857 0.4284  8 O 3.04-3.24
Ce1 0.0339 0.0339 0.9322  1 O 1.92
Se1 0.5344 0.5344 0.9312  5 O 1.69-1.81
O1 0.1944 0.1944 0.6111  1 Ce 1.92
O2 0.7168 0.7168 0.0048  1 Se 1.81
O3 0.2785 0.7169 0.0047  1 Se 1.81
O4 0.7169 0.2784 0.0047  1 Se 1.81
O5 0.2784 0.2784 0.0048  1 Se 1.81
O6 0.6753 0.6753 0.6496  1 Se 1.69

***

Entry 8:
DFT (PBE) results for an optimized crystal structure of Ac3P2Br.

Computed properties:
**Total DFT energy (no corrections)**: -5.293 eV per atom
**Space-group type**: Cmcm, No. 63
**ΔE_f (raw)**: -1.156 eV per atom

Unit cell a=4.4679 b=8.5884 c=12.4958 alpha=90.00 beta=90.00 gamma=105.08
Closest atoms and distances in Å follow each position.
Fractional positions:
Ac1 0.6260 0.2520 0.0204  3 P 2.88-3.07
Ac2 0.0078 0.0156 0.7500  4 P 2.97-3.13, 2 Br 3.29
Ac3 0.6260 0.2520 0.4796  3 P 2.88-3.07
Ac4 0.9922 0.9844 0.2500  4 P 2.97-3.13, 2 Br 3.29
Ac5 0.3740 0.7480 0.9796  3 P 2.88-3.07
Ac6 0.3740 0.7480 0.5204  3 P 2.88-3.07
P1 0.0000 0.0000 0.0000  6 Ac 3.07-3.13
P2 0.0000 0.0000 0.5000  6 Ac 3.07-3.13
P3 0.6106 0.2211 0.2500  4 Ac 2.88-2.97
P4 0.3894 0.7789 0.7500  4 Ac 2.88-2.97
Br1 0.3468 0.6937 0.2500  4 Ac 3.29-3.41
Br2 0.6532 0.3063 0.7500  4 Ac 3.29-3.41

***

Entry 9:
DFT (PBE) results for an optimized crystal structure of Sm3YEr2Se6.

Computed properties:
**Total DFT energy (no corrections)**: -5.994 eV per atom
**Space-group type**: C2/m, No. 12
**ΔE_f (raw)**: -1.773 eV per atom

Unit cell a=7.0927 b=7.0927 c=7.1976 alpha=99.43 beta=99.43 gamma=120.30
Closest atoms and distances in Å follow each position.
Fractional positions:
Sm1 0.1643 0.8357 0.5000  6 Se 2.95-2.96
Sm2 0.8357 0.1643 0.5000  6 Se 2.95-2.96
Sm3 0.5000 0.5000 0.5000  6 Se 2.94-2.96
Y1 0.0000 0.0000 0.0000  6 Se 2.88-2.89
Er1 0.3337 0.6663 0.0000  6 Se 2.85-2.86
Er2 0.6663 0.3337 0.0000  6 Se 2.85-2.86
Se1 0.9205 0.5837 0.7608  2 Er 2.85-2.86, 1 Y 2.89, 3 Sm 2.95-2.96
Se2 0.7425 0.7425 0.2375  2 Er 2.85, 1 Y 2.88, 3 Sm 2.94-2.95
Se3 0.0795 0.4163 0.2392  2 Er 2.85-2.86, 1 Y 2.89, 3 Sm 2.95-2.96
Se4 0.5837 0.9205 0.7608  2 Er 2.85-2.86, 1 Y 2.89, 3 Sm 2.95-2.96
Se5 0.2575 0.2575 0.7625  2 Er 2.85, 1 Y 2.88, 3 Sm 2.94-2.95
Se6 0.4163 0.0795 0.2392  2 Er 2.85-2.86, 1 Y 2.89, 3 Sm 2.95-2.96

***

Q: Which of these has the highest total DFT energy (no corrections)?
A: TlGa2Si